The following is a DFT calculation (PBE) of a geometry-optimized AcPm2Y structure.

Cell: 3.739 3.739 10.412 Å, 90.00 90.00 90.00°
Atoms (fractional coordinates):
Y (0.500, 0.500, 0.000)
Ac (0.500, 0.500, 0.500)
Pm (0.000, 0.000, 0.762)
Pm (0.000, 0.000, 0.238)

## Properties
The value obtained for the energy relative to the elements is 0.040 eV/atom. The symmetry is P4/mmm (123). For the energy above the lowest structure with this stoichiometry, the calculation gives 0.007 eV/atom.



The following is a DFT calculation (PBE) of a geometry-optimized Ac7Pm2Y2 structure.

Cell: 6.723 8.511 8.511 Å, 77.16 84.97 84.97°
Atoms (fractional coordinates):
Ac (0.248, 0.911, 0.565)
Ac (0.752, 0.435, 0.089)
Ac (0.752, 0.089, 0.435)
Ac (0.248, 0.565, 0.911)
Ac (0.000, 0.000, 0.000)
Ac (0.739, 0.549, 0.549)
Ac (0.261, 0.451, 0.451)
Pm (0.709, 0.798, 0.798)
Pm (0.291, 0.202, 0.202)
Y (0.500, 0.826, 0.174)
Y (0.500, 0.174, 0.826)

## Properties
The value obtained for the energy relative to the elements is 0.249 eV/atom. The symmetry is C2/m (12).



The following is a DFT calculation (PBE) of a geometry-optimized AcPm2Y structure.

Cell: 3.738 3.738 12.249 Å, 81.22 81.22 59.96°
Atoms (fractional coordinates):
Ac (0.500, 0.500, 0.500)
Pm (0.080, 0.080, 0.761)
Pm (0.254, 0.254, 0.239)
Y (0.666, 0.666, 0.001)

## Properties
The value obtained for the energy relative to the elements is 0.044 eV/atom. The symmetry is Cm (8). For the energy above the lowest structure with this stoichiometry, the calculation gives 0.011 eV/atom.



The following is a DFT calculation (PBE) of a geometry-optimized AcPm12Y5 structure.

Cell: 12.201 10.572 5.866 Å, 90.08 90.13 54.76°
Atoms (fractional coordinates):
Ac (0.000, 0.000, 0.000)
Pm (0.794, 0.000, 0.459)
Pm (0.206, 0.000, 0.541)
Pm (0.694, 0.000, 0.960)
Pm (0.306, 0.000, 0.040)
Pm (0.332, 0.640, 0.995)
Pm (0.028, 0.640, 0.005)
Pm (0.972, 0.360, 0.995)
Pm (0.668, 0.360, 0.005)
Pm (0.473, 0.358, 0.505)
Pm (0.831, 0.642, 0.505)
Pm (0.169, 0.358, 0.495)
Pm (0.527, 0.642, 0.495)
Y (0.500, 0.000, 0.500)
Y (0.141, 0.718, 0.500)
Y (0.859, 0.282, 0.500)
Y (0.639, 0.722, 0.000)
Y (0.361, 0.278, 0.000)

## Properties
The value obtained for the energy relative to the elements is 0.087 eV/atom. The symmetry is C2/m (12).



The following is a DFT calculation (PBE) of a geometry-optimized Ac7PmY2 structure.

Cell: 6.122 9.701 9.701 Å, 63.08 90.00 90.00°
Atoms (fractional coordinates):
Ac (0.000, 0.240, 0.240)
Ac (0.000, 0.760, 0.760)
Ac (0.500, 0.939, 0.308)
Ac (0.500, 0.061, 0.692)
Ac (0.500, 0.692, 0.061)
Ac (0.500, 0.308, 0.939)
Ac (0.500, 0.500, 0.500)
Pm (0.000, 0.000, 0.000)
Y (0.500, 0.298, 0.298)
Y (0.500, 0.702, 0.702)

## Properties
The value obtained for the energy relative to the elements is 0.635 eV/atom. The symmetry is Cmmm (65).



The following is a DFT calculation (PBE) of a geometry-optimized Ac2Pm5Y structure.

Cell: 5.260 7.445 14.908 Å, 90.00 90.00 90.00°
Atoms (fractional coordinates):
Ac (0.500, 0.249, 0.625)
Ac (0.500, 0.751, 0.375)
Ac (0.500, 0.251, 0.125)
Ac (0.500, 0.749, 0.875)
Pm (0.000, 0.000, 0.000)
Pm (0.000, 0.500, 0.500)
Pm (0.000, 0.497, 0.751)
Pm (0.000, 0.503, 0.249)
Pm (0.000, 0.003, 0.251)
Pm (0.000, 0.997, 0.749)
Pm (0.500, 0.248, 0.875)
Pm (0.500, 0.752, 0.125)
Pm (0.500, 0.252, 0.375)
Pm (0.500, 0.748, 0.625)
Y (0.000, 0.000, 0.500)
Y (0.000, 0.500, 0.000)

## Properties
The value obtained for the energy relative to the elements is 0.031 eV/atom. The symmetry is Pbam (55). For the energy above the lowest structure with this stoichiometry, the calculation gives 0.000 eV/atom.



The following is a DFT calculation (PBE) of a geometry-optimized Ac2Pm2Y structure.

Cell: 4.948 4.948 9.042 Å, 105.88 105.88 90.00°
Atoms (fractional coordinates):
Ac (0.750, 0.250, 0.500)
Ac (0.250, 0.750, 0.500)
Pm (0.409, 0.409, 0.818)
Pm (0.591, 0.591, 0.182)
Y (0.000, 0.000, 0.000)

## Properties
The value obtained for the energy relative to the elements is 0.447 eV/atom. The symmetry is I4/mmm (139). For the energy above the lowest structure with this stoichiometry, the calculation gives 0.358 eV/atom.



The following is a DFT calculation (PBE) of a geometry-optimized AcPm8Y4 structure.

Cell: 5.177 6.325 16.726 Å, 63.89 81.10 65.84°
Atoms (fractional coordinates):
Ac (0.516, 0.002, 0.967)
Pm (0.055, 0.536, 0.353)
Pm (0.440, 0.917, 0.202)
Pm (0.591, 0.086, 0.732)
Pm (0.976, 0.467, 0.581)
Pm (0.747, 0.228, 0.278)
Pm (0.208, 0.699, 0.886)
Pm (0.284, 0.776, 0.656)
Pm (0.824, 0.305, 0.047)
Y (0.362, 0.846, 0.429)
Y (0.896, 0.399, 0.808)
Y (0.135, 0.604, 0.126)
Y (0.669, 0.158, 0.504)

## Properties
The value obtained for the energy relative to the elements is 0.026 eV/atom. The symmetry is C2/m (12).